{
  "formula": "Li2MnIn",
  "functional": "PBE",
  "state": "optimized geometry",
  "lattice": [[-0.0578, -1.0798, -2.7107], [4.1705, -0.8047, 0.2316], [-1.1410, -5.2986, 2.1350]],
  "species": ["Li", "Li", "Mn", "In"],
  "fractional_positions": [[0.5000, 0.5000, 0.2527], [0.0000, 0.0000, 0.0013], [0.0000, 0.0000, 0.5087], [0.5000, 0.5000, 0.7373]],
  "dft_energy_ry_per_atom": -0.283,
  "delta_e_f_mev_per_atom": 85,
  "mass_density_g_cm3": 4.2
}